A plane-wave DFT calculation with PBE-GGA was carried out for PrFe5Sb15 after structural relaxation.

Unit cell a=15.2275 b=15.2275 c=15.2275 alpha=50.44 beta=50.44 gamma=50.44
Each line ends with the local moment (μB).
Atoms (fractional coordinates):
Pr1 0.2037 0.2037 0.2037  -0.07
Pr2 0.3999 0.3999 0.3999  -0.07
Pr3 0.6001 0.6001 0.6001  -0.07
Pr4 0.7963 0.7963 0.7963  -0.07
Fe1 0.1006 0.1006 0.1006  0.47
Fe2 0.5000 0.0000 0.0000  0.56
Fe3 0.0000 0.5000 0.0000  0.56
Fe4 0.3000 0.3000 0.3000  0.62
Fe5 0.6982 0.2013 0.2013  0.44
Fe6 0.2013 0.6982 0.2013  0.44
Fe7 0.6002 0.5999 0.0998  0.56
Fe8 0.5000 0.5000 0.5000  0.42
Fe9 0.9002 0.3998 0.4001  0.56
Fe10 0.4001 0.9002 0.3998  0.56
Fe11 0.7987 0.7987 0.3018  0.44
Fe12 0.7000 0.7000 0.7000  0.62
Fe13 0.0998 0.6002 0.5999  0.56
Fe14 0.5999 0.0998 0.6002  0.56
Fe15 0.0000 0.0000 0.5000  0.56
Fe16 0.8994 0.8994 0.8994  0.47
Fe17 0.3018 0.7987 0.7987  0.44
Fe18 0.7987 0.3018 0.7987  0.44
Fe19 0.2013 0.2013 0.6982  0.44
Fe20 0.3998 0.4001 0.9002  0.56
Sb1 0.5048 0.1645 0.0020  -0.01
Sb2 0.2622 0.4409 0.0991  -0.01
Sb3 0.1929 0.7078 0.0332  -0.01
Sb4 0.4998 0.3367 0.1647  -0.01
Sb5 0.4341 0.5974 0.0997  -0.01
Sb6 0.2290 0.9028 0.0627  -0.01
Sb7 0.7012 0.3652 0.2028  -0.01
Sb8 0.4633 0.6354 0.3004  -0.01
Sb9 0.9664 0.2989 0.1370  -0.01
Sb10 0.7657 0.6033 0.0993  -0.01
Sb11 0.3967 0.9007 0.2343  -0.01
Sb12 0.7011 0.8630 0.0336  -0.01
Sb13 0.6996 0.5367 0.3646  -0.01
Sb14 0.0020 0.5048 0.1645  -0.01
Sb15 0.6348 0.7972 0.2988  -0.01
Sb16 0.4409 0.0991 0.2622  -0.01
Sb17 0.9373 0.7710 0.0972  -0.01
Sb18 0.9003 0.5659 0.4026  -0.01
Sb19 0.7078 0.0332 0.1929  -0.01
Sb20 0.6633 0.8353 0.5002  -0.01
Sb21 0.1647 0.4998 0.3367  -0.01
Sb22 0.9668 0.8071 0.2922  -0.01
Sb23 0.5974 0.0997 0.4341  -0.01
Sb24 0.9028 0.0627 0.2290  -0.01
Sb25 0.9009 0.7378 0.5591  -0.01
Sb26 0.2028 0.7012 0.3652  -0.01
Sb27 0.8355 0.9980 0.4952  -0.01
Sb28 0.6354 0.3004 0.4633  -0.01
Sb29 0.1370 0.9664 0.2989  -0.01
Sb30 0.0993 0.7657 0.6033  -0.01
Sb31 0.9007 0.2343 0.3967  -0.01
Sb32 0.8630 0.0336 0.7011  -0.01
Sb33 0.3646 0.6996 0.5367  -0.01
Sb34 0.1645 0.0020 0.5048  -0.01
Sb35 0.7972 0.2988 0.6348  -0.01
Sb36 0.0991 0.2622 0.4409  -0.01
Sb37 0.0972 0.9373 0.7710  -0.01
Sb38 0.4026 0.9003 0.5659  -0.01
Sb39 0.0332 0.1929 0.7078  -0.01
Sb40 0.8353 0.5002 0.6633  -0.01
Sb41 0.3367 0.1647 0.4998  -0.01
Sb42 0.2922 0.9668 0.8071  -0.01
Sb43 0.0997 0.4341 0.5974  -0.01
Sb44 0.0627 0.2290 0.9028  -0.01
Sb45 0.5591 0.9009 0.7378  -0.01
Sb46 0.3652 0.2028 0.7012  -0.01
Sb47 0.9980 0.4952 0.8355  -0.01
Sb48 0.3004 0.4633 0.6354  -0.01
Sb49 0.2989 0.1370 0.9664  -0.01
Sb50 0.6033 0.0993 0.7657  -0.01
Sb51 0.2343 0.3967 0.9007  -0.01
Sb52 0.0336 0.7011 0.8630  -0.01
Sb53 0.5367 0.3646 0.6996  -0.01
Sb54 0.2988 0.6348 0.7972  -0.01
Sb55 0.7710 0.0972 0.9373  -0.01
Sb56 0.5659 0.4026 0.9003  -0.01
Sb57 0.5002 0.6633 0.8353  -0.01
Sb58 0.8071 0.2922 0.9668  -0.01
Sb59 0.7378 0.5591 0.9009  -0.01
Sb60 0.4952 0.8355 0.9980  -0.01

Values from the calculation:
The value obtained for the uncorrected formation energy is -0.166 eV per atom. As for the total magnetic moment: 0.100 μB per atom. The density of states at the Fermi level comes out at 0.83 states/eV per atom.